A geometry-optimized AlMoO3 structure, computed with PBE+U.

Results
**Crystal system**: hexagonal
**Calculated density**: 5.312 g/cm³
**Raw total energy**: -6.99 eV per atom

Cell lengths 5.5450, 5.5450, 12.0389 Å; angles 90.00, 90.00, 120.00 degrees
Space group P6_3cm (No. 185)
Inequivalent atoms, fractional coordinates:
Al 0.0000 0.0000 0.0000
Al 0.3333 0.6667 0.0227
Mo 0.0000 0.2997 0.2614
O 0.0000 0.0000 0.1598
O 0.0000 0.3043 0.4433
O 0.0000 0.4273 0.0992
O 0.3333 0.6667 0.2980